1.
The following is a PBE calculation of a relaxed structure of CaPSeBr2, from Alexandria via LeMat-Bulk.

Cell: 5.504 5.504 6.042 Å, 90.00 90.00 90.00°
Element x y z (fractional)
Ca: 0.000 0.000 0.000
P: 0.500 0.500 0.500
Se: 0.000 0.000 0.500
Br: 0.000 0.500 0.000
Br: 0.500 0.000 0.000

Results
DOS(E_F)	0.5960	states/eV/atom
uncorrected energy	-2.9546	eV/atom
formation energy (no corrections)	-0.106	eV per atom
space-group type	No. 123

=====

2.
The following is a PBE calculation of a relaxed structure of CaPSeBr2, from Alexandria via LeMat-Bulk.

Cell: 5.033 5.033 5.261 Å, 90.00 90.00 90.00°
Element x y z (fractional)
Ca: 0.000 0.000 0.000
P: 0.500 0.500 0.500
Se: 0.500 0.500 0.000
Br: 0.000 0.500 0.500
Br: 0.500 0.000 0.500

Results
DOS(E_F)	0.0072	states/eV/atom
uncorrected energy	-3.4114	eV/atom
formation energy (no corrections)	-0.563	eV per atom
space-group type	No. 123

=====

3.
The following is a PBE calculation of a relaxed structure of CaPSe2Br, from Alexandria via LeMat-Bulk.

Cell: 4.992 4.992 5.020 Å, 90.00 90.00 90.00°
Element x y z (fractional)
Ca: 0.000 0.000 0.000
P: 0.500 0.500 0.500
Se: 0.000 0.500 0.500
Se: 0.500 0.000 0.500
Br: 0.500 0.500 0.000

Results
DOS(E_F)	0.5693	states/eV/atom
uncorrected energy	-3.7356	eV/atom
formation energy (no corrections)	-0.525	eV per atom
space-group type	No. 123

=====

4.
The following is a PBE calculation of a relaxed structure of CaPSe2Br, from Alexandria via LeMat-Bulk.

Cell: 5.553 5.553 5.265 Å, 90.00 90.00 90.00°
Element x y z (fractional)
Ca: 0.000 0.000 0.000
P: 0.500 0.500 0.500
Se: 0.000 0.500 0.000
Se: 0.500 0.000 0.000
Br: 0.000 0.000 0.500

Results
DOS(E_F)	1.5034	states/eV/atom
uncorrected energy	-2.8610	eV/atom
formation energy (no corrections)	0.350	eV per atom
space-group type	No. 123

=====

5.
The following is a PBE calculation of a relaxed structure of CaPaBr, from Alexandria via LeMat-Bulk.

Cell: 5.614 5.614 10.177 Å, 115.41 115.41 35.69°
Element x y z (fractional)
Ca: 0.020 0.020 0.304
Ca: 0.980 0.980 0.696
Pa: 0.355 0.355 0.956
Pa: 0.645 0.645 0.044
Br: 0.325 0.325 0.392
Br: 0.675 0.675 0.608

Results
DOS(E_F)	1.5282	states/eV/atom
uncorrected energy	-4.8770	eV/atom
formation energy (no corrections)	-0.487	eV per atom
space-group type	No. 12

=====

6.
The following is a PBE calculation of a relaxed structure of CaPaBr6, from Alexandria via LeMat-Bulk.

Cell: 7.554 7.554 7.130 Å, 98.02 98.02 123.53°
Element x y z (fractional)
Ca: 0.000 0.000 0.000
Pa: 0.500 0.500 0.500
Br: 0.113 0.404 0.255
Br: 0.255 0.255 0.741
Br: 0.404 0.113 0.255
Br: 0.596 0.887 0.745
Br: 0.745 0.745 0.259
Br: 0.887 0.596 0.745

Results
DOS(E_F)	0.0405	states/eV/atom
uncorrected energy	-4.3534	eV/atom
formation energy (no corrections)	-1.662	eV per atom
space-group type	No. 12

=====

7.
The following is a PBE calculation of a relaxed structure of CaPb4Br, from Alexandria via LeMat-Bulk.

Cell: 6.516 6.516 6.516 Å, 60.00 60.00 60.00°
Element x y z (fractional)
Ca: 0.000 0.000 0.000
Pb: 0.123 0.626 0.626
Pb: 0.626 0.123 0.626
Pb: 0.626 0.626 0.123
Pb: 0.626 0.626 0.626
Br: 0.250 0.250 0.250

Results
DOS(E_F)	0.5472	states/eV/atom
uncorrected energy	-3.2898	eV/atom
formation energy (no corrections)	-0.205	eV per atom
space-group type	No. 216

=====

8.
The following is a PBE calculation of a relaxed structure of CaPbBr2, from Alexandria via LeMat-Bulk.

Cell: 5.483 5.483 5.483 Å, 60.00 60.00 60.00°
Element x y z (fractional)
Ca: 0.000 0.000 0.000
Pb: 0.500 0.500 0.500
Br: 0.250 0.250 0.250
Br: 0.750 0.750 0.750

Results
DOS(E_F)	1.8363	states/eV/atom
uncorrected energy	-3.0380	eV/atom
formation energy (no corrections)	-0.774	eV per atom
space-group type	No. 225

=====

9.
The following is a PBE calculation of a relaxed structure of CaPbBr2, from Alexandria via LeMat-Bulk.

Cell: 7.003 7.003 7.003 Å, 105.57 105.57 117.58°
Element x y z (fractional)
Ca: 0.000 0.000 0.000
Ca: 0.750 0.250 0.500
Pb: 0.250 0.750 0.500
Pb: 0.500 0.500 0.000
Br: 0.088 0.625 0.963
Br: 0.375 0.338 0.463
Br: 0.662 0.125 0.037
Br: 0.875 0.912 0.537

Results
DOS(E_F)	0.1917	states/eV/atom
uncorrected energy	-3.2077	eV/atom
formation energy (no corrections)	-0.944	eV per atom
space-group type	No. 122

=====

10.
The following is a PBE calculation of a relaxed structure of Ca2PbBr, from Alexandria via LeMat-Bulk.

Cell: 7.173 7.173 7.173 Å, 143.81 143.81 52.10°
Element x y z (fractional)
Ca: 0.000 0.000 0.000
Ca: 0.750 0.250 0.500
Pb: 0.250 0.750 0.500
Br: 0.500 0.500 0.000

Results
DOS(E_F)	0.7360	states/eV/atom
uncorrected energy	-3.0550	eV/atom
formation energy (no corrections)	-0.709	eV per atom
space-group type	No. 119

=====

11.
The following is a PBE calculation of a relaxed structure of CaPb5Br12, from Alexandria via LeMat-Bulk.

Cell: 7.723 7.723 13.858 Å, 90.02 90.02 120.28°
Element x y z (fractional)
Ca: 0.000 0.000 0.000
Pb: 0.167 0.833 0.500
Pb: 0.333 0.667 0.000
Pb: 0.500 0.500 0.500
Pb: 0.667 0.333 0.000
Pb: 0.833 0.167 0.500
Br: 0.001 0.681 0.884
Br: 0.166 0.166 0.379
Br: 0.168 0.501 0.621
Br: 0.319 0.999 0.116
Br: 0.320 0.320 0.884
Br: 0.499 0.832 0.379
Br: 0.501 0.168 0.621
Br: 0.680 0.680 0.116
Br: 0.681 0.001 0.884
Br: 0.832 0.499 0.379
Br: 0.834 0.834 0.621
Br: 0.999 0.319 0.116

Results
DOS(E_F)	0.0000	states/eV/atom
uncorrected energy	-3.3587	eV/atom
formation energy (no corrections)	-1.102	eV per atom
space-group type	No. 12

=====

12.
The following is a PBE calculation of a relaxed structure of Ca3PbBr, from Alexandria via LeMat-Bulk.

Cell: 6.045 6.045 6.045 Å, 90.00 90.00 90.00°
Element x y z (fractional)
Ca: 0.000 0.000 0.500
Ca: 0.000 0.500 0.000
Ca: 0.500 0.000 0.000
Pb: 0.000 0.000 0.000
Br: 0.500 0.500 0.500

Results
DOS(E_F)	0.6815	states/eV/atom
uncorrected energy	-2.7199	eV/atom
formation energy (no corrections)	-0.443	eV per atom
space-group type	No. 221

=====

13.
The following is a PBE calculation of a relaxed structure of Ca2PbBr, from Alexandria via LeMat-Bulk.

Cell: 5.288 6.450 6.450 Å, 34.21 90.00 90.00°
Element x y z (fractional)
Ca: 0.000 0.000 0.000
Ca: 0.500 0.254 0.254
Pb: 0.500 0.520 0.520
Br: 0.000 0.764 0.764

Results
DOS(E_F)	0.7940	states/eV/atom
uncorrected energy	-3.3045	eV/atom
formation energy (no corrections)	-0.958	eV per atom
space-group type	No. 38

=====

14.
The following is a PBE calculation of a relaxed structure of Ca3Pb5Br16, from Alexandria via LeMat-Bulk.

Cell: 8.831 8.831 13.774 Å, 90.31 90.31 59.54°
Element x y z (fractional)
Ca: 0.000 0.000 0.000
Ca: 0.168 0.665 0.497
Ca: 0.665 0.168 0.497
Pb: 0.163 0.163 0.267
Pb: 0.497 0.497 0.762
Pb: 0.498 0.999 0.998
Pb: 0.666 0.666 0.498
Pb: 0.999 0.498 0.998
Br: 0.002 0.513 0.380
Br: 0.155 0.679 0.883
Br: 0.157 0.157 0.880
Br: 0.313 0.855 0.125
Br: 0.321 0.321 0.132
Br: 0.333 0.808 0.624
Br: 0.346 0.346 0.618
Br: 0.493 0.493 0.383
Br: 0.513 0.002 0.380
Br: 0.672 0.672 0.870
Br: 0.679 0.155 0.883
Br: 0.808 0.333 0.624
Br: 0.839 0.839 0.609
Br: 0.840 0.840 0.116
Br: 0.855 0.313 0.125
Br: 0.992 0.992 0.386

Results
DOS(E_F)	0.0000	states/eV/atom
uncorrected energy	-3.4737	eV/atom
formation energy (no corrections)	-1.336	eV per atom
space-group type	No. 8

=====

15.
The following is a PBE calculation of a relaxed structure of CaPb3Br8, from Alexandria via LeMat-Bulk.

Cell: 8.504 8.504 8.545 Å, 117.14 117.14 63.07°
Element x y z (fractional)
Ca: 0.000 0.000 0.000
Pb: 0.000 0.500 0.500
Pb: 0.500 0.000 0.500
Pb: 0.500 0.500 0.000
Br: 0.240 0.240 0.242
Br: 0.240 0.760 0.237
Br: 0.240 0.760 0.763
Br: 0.250 0.250 0.747
Br: 0.750 0.750 0.253
Br: 0.760 0.240 0.237
Br: 0.760 0.240 0.763
Br: 0.760 0.760 0.758

Results
DOS(E_F)	0.0000	states/eV/atom
uncorrected energy	-3.4067	eV/atom
formation energy (no corrections)	-1.198	eV per atom
space-group type	No. 12

=====

16.
The following is a PBE calculation of a relaxed structure of CaPbBr2, from Alexandria via LeMat-Bulk.

Cell: 4.064 4.064 7.673 Å, 90.00 90.00 90.00°
Element x y z (fractional)
Ca: 0.000 0.000 0.000
Pb: 0.500 0.500 0.339
Br: 0.000 0.000 0.631
Br: 0.500 0.500 0.927

Results
DOS(E_F)	0.3632	states/eV/atom
uncorrected energy	-3.2460	eV/atom
formation energy (no corrections)	-0.982	eV per atom
space-group type	No. 99

=====

17.
The following is a PBE calculation of a relaxed structure of CaPbBr2, from Alexandria via LeMat-Bulk.

Cell: 12.161 12.161 12.161 Å, 18.48 18.48 18.48°
Element x y z (fractional)
Ca: 0.000 0.000 0.000
Pb: 0.500 0.500 0.500
Br: 0.285 0.285 0.285
Br: 0.715 0.715 0.715

Results
DOS(E_F)	0.3814	states/eV/atom
uncorrected energy	-3.4854	eV/atom
formation energy (no corrections)	-1.222	eV per atom
space-group type	No. 166

=====

18.
The following is a PBE calculation of a relaxed structure of CaPbBr2, from Alexandria via LeMat-Bulk.

Cell: 5.776 5.776 5.776 Å, 127.47 127.47 77.48°
Element x y z (fractional)
Ca: 0.000 0.000 0.000
Pb: 0.500 0.500 0.000
Br: 0.250 0.750 0.500
Br: 0.750 0.250 0.500

Results
DOS(E_F)	0.7074	states/eV/atom
uncorrected energy	-3.0507	eV/atom
formation energy (no corrections)	-0.787	eV per atom
space-group type	No. 139

=====

19.
The following is a PBE calculation of a relaxed structure of Ca2PbBr, from Alexandria via LeMat-Bulk.

Cell: 7.117 7.117 7.117 Å, 110.66 110.66 107.12°
Element x y z (fractional)
Ca: 0.104 0.625 0.979
Ca: 0.375 0.354 0.479
Ca: 0.646 0.125 0.021
Ca: 0.875 0.896 0.521
Pb: 0.250 0.750 0.500
Pb: 0.500 0.500 0.000
Br: 0.000 0.000 0.000
Br: 0.750 0.250 0.500

Results
DOS(E_F)	0.0456	states/eV/atom
uncorrected energy	-3.1100	eV/atom
formation energy (no corrections)	-0.764	eV per atom
space-group type	No. 122

=====

20.
The following is a PBE calculation of a relaxed structure of Ca2PbBr, from Alexandria via LeMat-Bulk.

Cell: 5.762 5.762 3.800 Å, 90.00 90.00 90.00°
Element x y z (fractional)
Ca: 0.000 0.500 0.000
Ca: 0.500 0.000 0.000
Pb: 0.000 0.000 0.505
Br: 0.500 0.500 0.035

Results
DOS(E_F)	0.6726	states/eV/atom
uncorrected energy	-3.3546	eV/atom
formation energy (no corrections)	-1.009	eV per atom
space-group type	No. 99

=====

21.
The following is a PBE calculation of a relaxed structure of Ca5PbBr12, from Alexandria via LeMat-Bulk.

Cell: 7.493 7.493 14.106 Å, 90.03 90.03 120.10°
Element x y z (fractional)
Ca: 0.000 0.000 0.000
Ca: 0.167 0.833 0.500
Ca: 0.333 0.667 0.000
Ca: 0.667 0.333 0.000
Ca: 0.833 0.167 0.500
Pb: 0.500 0.500 0.500
Br: 0.000 0.333 0.891
Br: 0.000 0.667 0.109
Br: 0.152 0.152 0.614
Br: 0.152 0.500 0.386
Br: 0.333 0.000 0.891
Br: 0.334 0.334 0.110
Br: 0.500 0.152 0.386
Br: 0.500 0.848 0.614
Br: 0.666 0.666 0.890
Br: 0.667 0.000 0.109
Br: 0.848 0.500 0.614
Br: 0.848 0.848 0.386

Results
DOS(E_F)	0.0000	states/eV/atom
uncorrected energy	-3.7328	eV/atom
formation energy (no corrections)	-1.856	eV per atom
space-group type	No. 12

=====

22.
The following is a PBE calculation of a relaxed structure of Ca2PbBr6, from Alexandria via LeMat-Bulk.

Cell: 7.703 7.703 10.616 Å, 95.42 95.42 36.71°
Element x y z (fractional)
Ca: 0.244 0.244 0.322
Ca: 0.756 0.756 0.678
Pb: 0.500 0.500 0.000
Br: 0.128 0.128 0.087
Br: 0.332 0.332 0.591
Br: 0.417 0.417 0.246
Br: 0.583 0.583 0.754
Br: 0.668 0.668 0.409
Br: 0.872 0.872 0.913

Results
DOS(E_F)	0.0000	states/eV/atom
uncorrected energy	-3.5454	eV/atom
formation energy (no corrections)	-1.573	eV per atom
space-group type	No. 12

=====

23.
The following is a PBE calculation of a relaxed structure of Ca2PbBr, from Alexandria via LeMat-Bulk.

Cell: 3.653 3.653 10.564 Å, 90.00 90.00 90.00°
Element x y z (fractional)
Ca: 0.000 0.000 0.000
Ca: 0.500 0.500 0.307
Pb: 0.000 0.000 0.525
Br: 0.500 0.500 0.859

Results
DOS(E_F)	0.8089	states/eV/atom
uncorrected energy	-3.0109	eV/atom
formation energy (no corrections)	-0.665	eV per atom
space-group type	No. 99

=====

24.
The following is a PBE calculation of a relaxed structure of Ca2PbBr, from Alexandria via LeMat-Bulk.

Cell: 8.291 8.291 8.291 Å, 30.44 30.44 30.44°
Element x y z (fractional)
Ca: 0.247 0.247 0.247
Ca: 0.753 0.753 0.753
Pb: 0.500 0.500 0.500
Br: 0.000 0.000 0.000

Results
DOS(E_F)	0.3384	states/eV/atom
uncorrected energy	-3.3053	eV/atom
formation energy (no corrections)	-0.959	eV per atom
space-group type	No. 166

=====

25.
The following is a PBE calculation of a relaxed structure of CaPbBr2, from Alexandria via LeMat-Bulk.

Cell: 3.538 3.538 12.046 Å, 90.00 90.00 90.25°
Element x y z (fractional)
Ca: 0.000 0.000 0.000
Pb: 0.000 0.000 0.500
Br: 0.500 0.500 0.142
Br: 0.500 0.500 0.858

Results
DOS(E_F)	0.2307	states/eV/atom
uncorrected energy	-3.3871	eV/atom
formation energy (no corrections)	-1.123	eV per atom
space-group type	No. 65

=====

26.
The following is a PBE calculation of a relaxed structure of CaPbBr2, from Alexandria via LeMat-Bulk.

Cell: 6.067 6.067 4.168 Å, 108.19 108.19 106.10°
Element x y z (fractional)
Ca: 0.000 0.000 0.000
Pb: 0.500 0.500 0.000
Br: 0.000 0.500 0.500
Br: 0.500 0.000 0.500

Results
DOS(E_F)	0.4349	states/eV/atom
uncorrected energy	-3.1773	eV/atom
formation energy (no corrections)	-0.913	eV per atom
space-group type	No. 12